1.
DFT (SCAN) results for a crystal of LiLaPt relaxed with PBEsol.

Calculated values
Its formation energy from the elements is -0.73 eV/atom. The space group is I4mm, No. 107. As for the calculated density: 8.7 g/cm3. As for the energy above the most stable polymorph in this dataset: 155 meV/atom.

Cell and atoms, written as POSCAR:
```
LiLaPt
1.0
3.823 0.000 0.000
0.000 3.823 0.000
-1.911 -1.911 4.471
La Pt Li
1 1 1
Cartesian
0.000 0.000 0.162
1.911 1.911 1.359
0.000 0.000 2.949
```



2.
DFT (SCAN) results for a crystal of SrCd2Tc relaxed with PBEsol.

Calculated values
Its formation energy from the elements is 0.33 eV/atom. The space group is P4/mmm, No. 123. As for the calculated density: 7.7 g/cm3. As for the energy above the most stable polymorph in this dataset: 0 meV/atom.

Cell and atoms, written as POSCAR:
```
SrCd2Tc
1.0
-0.727 3.301 1.003
-1.816 -1.238 2.758
5.909 0.105 3.938
Cd Sr Tc
2 1 1
Cartesian
4.110 0.073 2.739
1.799 0.032 1.199
-1.272 1.032 1.880
1.683 1.084 3.850
```



3.
DFT (SCAN) results for a crystal of TlReAu2 relaxed with PBEsol.

Calculated values
Its formation energy from the elements is 0.88 eV/atom. The space group is I4/mmm, No. 139. As for the calculated density: 18.5 g/cm3. As for the energy above the most stable polymorph in this dataset: 244 meV/atom.

Cell and atoms, written as POSCAR:
```
TlReAu2
1.0
-3.098 2.444 -1.178
-1.949 -3.249 -1.614
0.619 -0.261 5.030
Au Re Tl
2 1 1
Cartesian
-2.501 0.890 1.228
-1.927 -1.956 1.010
-2.523 -0.403 -1.396
0.000 0.000 0.000
```



4.
DFT (SCAN) results for a crystal of ScNbAs2 relaxed with PBEsol.

Calculated values
Its formation energy from the elements is -0.65 eV/atom. The space group is Fm-3m, No. 225. As for the calculated density: 7.0 g/cm3. As for the energy above the most stable polymorph in this dataset: 0 meV/atom.

Cell and atoms, written as POSCAR:
```
ScNbAs2
1.0
4.588 0.000 0.000
2.294 3.974 0.000
2.294 1.325 3.746
Sc Nb As
1 1 2
Cartesian
0.000 0.000 0.000
4.588 2.649 1.873
2.294 1.325 0.937
6.883 3.974 2.810
```



5.
DFT (SCAN) results for a crystal of CsH relaxed with PBEsol.

Calculated values
The space group is Fm-3m, No. 225. The total energy is -20.8937 eV/atom. As for the calculated density: 3.7 g/cm3.

Cell and atoms, written as POSCAR:
```
CsH
1.0
4.382 0.000 0.000
2.191 3.795 0.000
2.191 1.265 3.578
Cs H
1 1
Cartesian
4.382 2.530 1.789
0.000 0.000 0.000
```



6.
DFT (SCAN) results for a crystal of NiRu2Pt relaxed with PBEsol.

Calculated values
Its formation energy from the elements is 0.03 eV/atom. The space group is P4mm, No. 99. As for the calculated density: 14.5 g/cm3. As for the energy above the most stable polymorph in this dataset: 19 meV/atom.

Cell and atoms, written as POSCAR:
```
NiRu2Pt
1.0
2.663 0.000 0.000
0.000 2.663 0.000
0.000 0.000 7.360
Ru Pt Ni
2 1 1
Cartesian
0.000 0.000 0.081
1.332 1.332 1.874
1.332 1.332 5.458
0.000 0.000 3.627
```



7.
DFT (SCAN) results for a crystal of MgAlP2S relaxed with PBEsol.

Calculated values
As for the formation energy (no corrections): 811 meV/atom. The space group is P4/mmm, No. 123. As for the calculated density: 2.3 g/cm3.

Cell and atoms, written as POSCAR:
```
MgAlP2S
1.0
4.614 0.000 0.000
0.000 4.768 0.000
0.000 0.000 4.768
Mg P S Al
1 2 1 1
Cartesian
0.000 0.000 0.000
0.000 0.000 2.384
0.000 2.384 0.000
2.307 0.000 0.000
2.307 2.384 2.384
```



8.
DFT (SCAN) results for a crystal of Cu2NiOs relaxed with PBEsol.

Calculated values
Its formation energy from the elements is 0.22 eV/atom. The space group is C2/m, No. 12. As for the calculated density: 13.2 g/cm3. As for the energy above the most stable polymorph in this dataset: 48 meV/atom.

Cell and atoms, written as POSCAR:
```
Cu2NiOs
1.0
-2.015 -0.194 1.512
0.955 -4.279 0.724
3.227 1.905 2.433
Cu Ni Os
2 1 1
Cartesian
1.333 -0.148 1.757
0.834 -2.420 2.913
-1.008 -0.097 0.756
0.477 -2.140 0.362
```



9.
DFT (SCAN) results for a crystal of K2Ca2Ag relaxed with PBEsol.

Calculated values
Its formation energy from the elements is 0.38 eV/atom. The space group is I4/mmm, No. 139. As for the calculated density: 1.8 g/cm3.

Cell and atoms, written as POSCAR:
```
K2Ca2Ag
1.0
4.712 0.000 0.000
0.000 4.712 0.000
-2.356 -2.356 10.816
Ca K Ag
2 2 1
Cartesian
0.000 2.356 5.408
2.356 0.000 5.408
0.000 0.000 9.003
2.356 2.356 1.813
0.000 0.000 0.000
```



10.
DFT (SCAN) results for a crystal of SrLiY2C relaxed with PBEsol.

Calculated values
Its formation energy from the elements is 1.05 eV/atom. The space group is P4/mmm, No. 123. As for the calculated density: 4.2 g/cm3.

Cell and atoms, written as POSCAR:
```
SrLiY2C
1.0
-2.353 1.345 -2.758
-1.925 -5.000 -0.797
-3.844 0.888 3.713
Y Sr C Li
2 1 1 1
Cartesian
-1.922 0.444 1.856
-0.963 -2.500 -0.399
-4.061 -1.384 0.079
-1.176 0.673 -1.379
0.000 0.000 0.000
```



11.
DFT (SCAN) results for a crystal of LaSbAs2Br relaxed with PBEsol.

Calculated values
As for the formation energy (no corrections): -235 meV/atom. The space group is P4/mmm, No. 123. As for the calculated density: 5.7 g/cm3. As for the energy above the most stable polymorph in this dataset: 0 meV/atom.

Cell and atoms, written as POSCAR:
```
LaSbAs2Br
1.0
-4.250 -3.012 0.550
1.099 -0.623 5.083
-2.855 4.236 1.137
Sb As Br La
1 2 1 1
Cartesian
0.000 0.000 0.000
0.550 -0.312 2.542
-2.125 -1.506 0.275
-1.427 2.118 0.568
-3.003 0.300 3.385
```



12.
DFT (SCAN) results for a crystal of Bi3MoH relaxed with PBEsol.

Calculated values
The space group is Pm-3m, No. 221. The total energy is -53.8949 eV/atom. As for the calculated density: 11.1 g/cm3.

Cell and atoms, written as POSCAR:
```
Bi3MoH
1.0
4.773 0.000 0.000
0.000 4.773 0.000
0.000 0.000 4.773
H Mo Bi
1 1 3
Cartesian
0.000 0.000 0.000
2.386 2.386 2.386
0.000 2.386 0.000
0.000 0.000 2.386
2.386 0.000 0.000
```